(1)
An optimized crystal structure of CePu2Cd, computed with PBE.

```
4
Lattice="3.112 0.000 0.000 0.000 3.112 0.000 0.000 0.000 10.349" Properties=species:S:1:pos:R:3 pbc="T T T"
Ce 0.000 0.000 0.000
Pu 1.556 1.556 2.635
Pu 1.556 1.556 7.714
Cd 0.000 0.000 5.175
```

**DFT total energy**: -8.771 eV per atom
**E above lowest polymorph**: 56 meV/atom
**D(E_F)**: 14.2 states/eV/f.u.
**ΔH_f (0 K)**: 0.4 eV per formula unit
**Space-group type**: P4/mmm (123)
**ρ**: 12.27 g cm⁻³

---

(2)
An optimized crystal structure of TbNdHoAg, computed with PBE.

```
4
Lattice="3.624 0.000 0.000 0.000 3.624 0.000 0.000 0.000 8.796" Properties=species:S:1:pos:R:3 pbc="T T T"
Tb 0.000 0.000 0.000
Nd 1.812 1.812 2.580
Ho 0.000 0.000 5.142
Ag 1.812 1.812 6.927
```

**DFT total energy**: -4.341 eV per atom
**E above lowest polymorph**: 0 meV/atom
**D(E_F)**: 4.9 states/eV/f.u.
**ΔH_f (0 K)**: -0.5 eV per formula unit
**Space-group type**: P4mm (99)
**ρ**: 8.28 g cm⁻³

---

(3)
An optimized crystal structure of MgMnCd2, computed with PBE.

```
8
Lattice="3.307 0.000 0.000 0.000 4.822 0.000 0.000 0.000 9.841" Properties=species:S:1:pos:R:3 pbc="T T T"
Mg 0.000 0.000 0.000
Mg 1.654 2.411 4.920
Mn 0.000 2.411 7.307
Mn 1.654 0.000 2.387
Cd 0.000 0.000 4.686
Cd 0.000 2.411 2.306
Cd 1.654 0.000 7.226
Cd 1.654 2.411 9.607
```

**DFT total energy**: -2.998 eV per atom
**D(E_F)**: 2.6 states/eV/f.u.
**ΔH_f (0 K)**: 0.6 eV per formula unit
**Space-group type**: Imm2 (44)
**ρ**: 6.44 g cm⁻³

---

(4)
An optimized crystal structure of Zn2SbAu2, computed with PBE.

```
10
Lattice="8.040 0.000 0.000 0.000 8.040 0.000 0.000 0.000 2.925" Properties=species:S:1:pos:R:3 pbc="T T T"
Zn 1.125 2.894 0.000
Zn 2.894 6.914 0.000
Zn 5.145 1.125 0.000
Zn 6.914 5.145 0.000
Sb 0.000 0.000 0.000
Sb 4.020 4.020 0.000
Au 1.228 5.248 1.463
Au 2.792 1.228 1.463
Au 5.248 6.812 1.463
Au 6.812 2.792 1.463
```

**DFT total energy**: -2.667 eV per atom
**Energy relative to the elements, uncorrected**: -0.11 eV per formula unit
**E above lowest polymorph**: 71 meV/atom
**D(E_F)**: 2.0 states/eV/f.u.
**Space-group type**: P4/mbm (127)
**ρ**: 11.36 g cm⁻³

---

What did the fourth record say?
An optimized crystal structure of Zn2SbAu2, computed with PBE.

```
10
Lattice="8.040 0.000 0.000 0.000 8.040 0.000 0.000 0.000 2.925" Properties=species:S:1:pos:R:3 pbc="T T T"
Zn 1.125 2.894 0.000
Zn 2.894 6.914 0.000
Zn 5.145 1.125 0.000
Zn 6.914 5.145 0.000
Sb 0.000 0.000 0.000
Sb 4.020 4.020 0.000
Au 1.228 5.248 1.463
Au 2.792 1.228 1.463
Au 5.248 6.812 1.463
Au 6.812 2.792 1.463
```

**DFT total energy**: -2.667 eV per atom
**Energy relative to the elements, uncorrected**: -0.11 eV per formula unit
**E above lowest polymorph**: 71 meV/atom
**D(E_F)**: 2.0 states/eV/f.u.
**Space-group type**: P4/mbm (127)
**ρ**: 11.36 g cm⁻³